The following is a GGA-PBE calculation of a geometry-optimized MgZrTeMo structure, from OQMD via LeMat-Bulk.

Properties
The total magnetic moment is 0.0 μB per formula unit. The calculation puts the polymorph energy (0 for the lowest one) at 98 meV per atom. The calculation puts the theoretical density at 7.20 g/cm³.

abc: 4.7996 4.7996 4.7996
angles: 60.00 60.00 60.00
Last column: nearest neighbours and their distance in Å.
Element x y z (fractional)
Mg 0.0000 0.0000 0.0000  4 Zr 2.94, 4 Mo 2.94
Zr 0.7500 0.7500 0.7500  4 Te 2.94, 4 Mg 2.94
Te 0.5000 0.5000 0.5000  4 Zr 2.94, 4 Mo 2.94
Mo 0.2500 0.2500 0.2500  4 Mg 2.94, 4 Te 2.94